(1)
The following is a DFT calculation (PBE) of crystalline Ba2HgPdAu at its relaxed geometry.

The structure in POSCAR format:
```
Ba2HgPdAu
1.0
8.141 0.000 0.000
0.000 4.841 0.000
-2.653 0.000 8.348
Ba Hg Pd Au
4 2 2 2
direct
0.077 0.250 0.204 Ba
0.365 0.750 0.680 Ba
0.635 0.250 0.320 Ba
0.923 0.750 0.796 Ba
0.357 0.750 0.088 Hg
0.643 0.250 0.912 Hg
0.265 0.250 0.910 Pd
0.735 0.750 0.090 Pd
0.056 0.250 0.591 Au
0.944 0.750 0.409 Au
```

Its formation energy is -589 meV per atom. The value obtained for the total energy is -3.113 eV/atom.



(2)
The following is a DFT calculation (PBE) of crystalline Ba6HgPd2Au at its relaxed geometry.

The structure in POSCAR format:
```
Ba6HgPd2Au
1.0
4.150 2.396 7.484
-4.150 2.396 7.484
0.000 -4.792 7.484
Ba Hg Pd Au
6 1 2 1
direct
0.025 0.311 0.663 Ba
0.156 0.792 0.545 Ba
0.311 0.663 0.025 Ba
0.545 0.156 0.792 Ba
0.663 0.025 0.311 Ba
0.792 0.545 0.156 Ba
0.231 0.231 0.231 Hg
0.417 0.417 0.417 Pd
0.921 0.921 0.921 Pd
0.735 0.735 0.735 Au
```

Its formation energy is -457 meV per atom. The value obtained for the total energy is -3.007 eV/atom.



Please write out number 1 again, unchanged.
The following is a DFT calculation (PBE) of crystalline Ba2HgPdAu at its relaxed geometry.

The structure in POSCAR format:
```
Ba2HgPdAu
1.0
8.141 0.000 0.000
0.000 4.841 0.000
-2.653 0.000 8.348
Ba Hg Pd Au
4 2 2 2
direct
0.077 0.250 0.204 Ba
0.365 0.750 0.680 Ba
0.635 0.250 0.320 Ba
0.923 0.750 0.796 Ba
0.357 0.750 0.088 Hg
0.643 0.250 0.912 Hg
0.265 0.250 0.910 Pd
0.735 0.750 0.090 Pd
0.056 0.250 0.591 Au
0.944 0.750 0.409 Au
```

Its formation energy is -589 meV per atom. The value obtained for the total energy is -3.113 eV/atom.



What is the formula in the second record?
Ba6HgPd2Au